(1)
# Cd4AsI2Br, optimized geometry, DFT PBE
# Uncorrected energy ... -1.934 eV per atom
# Mass density ... 5.0 g cm⁻³
# Volume ... 35.78 Å³ per atom
data_Cd4AsI2Br
_cell_length_a 7.976
_cell_length_b 9.078
_cell_length_c 7.905
_cell_angle_alpha 90.00
_cell_angle_beta 90.00
_cell_angle_gamma 90.00
_space_group_name_H-M_alt 'P m n 21'
_space_group_IT_number 31
_space_group_name_Hall 'P 2ac -2'
loop_
_atom_site_label
_atom_site_type_symbol
_atom_site_fract_x
_atom_site_fract_y
_atom_site_fract_z
Cd1 Cd 0.000 0.066 0.000
Cd2 Cd 0.000 0.808 0.619
Cd3 Cd 0.177 0.319 0.508
As1 As 0.000 0.783 0.944
I1 I 0.229 0.323 0.932
Br1 Br 0.000 0.030 0.367

(2)
# CdSi2Ni, optimized geometry, DFT PBE
# Uncorrected energy ... -4.269 eV per atom
# Mass density ... 6.2 g cm⁻³
# Volume ... 15.33 Å³ per atom
data_CdSi2Ni
_cell_length_a 2.836
_cell_length_b 2.836
_cell_length_c 7.622
_cell_angle_alpha 90.00
_cell_angle_beta 90.00
_cell_angle_gamma 90.00
_space_group_name_H-M_alt 'P 4 m m'
_space_group_IT_number 99
_space_group_name_Hall 'P 4 -2'
loop_
_atom_site_label
_atom_site_type_symbol
_atom_site_fract_x
_atom_site_fract_y
_atom_site_fract_z
Cd1 Cd 0.000 0.000 0.000
Si1 Si 0.000 0.000 0.433
Si2 Si 0.500 0.500 0.673
Ni1 Ni 0.500 0.500 0.269

(3)
# Mg2AsRh, optimized geometry, DFT PBE
# Mass density ... 5.3 g cm⁻³
# ΔE_f ... -0.252 eV per atom
# Volume ... 17.58 Å³ per atom
data_Mg2AsRh
_cell_length_a 3.0852
_cell_length_b 3.0852
_cell_length_c 25.5931
_cell_angle_alpha 90.00
_cell_angle_beta 90.00
_cell_angle_gamma 120.00
_space_group_name_H-M_alt 'R -3 m'
_space_group_IT_number 166
_space_group_name_Hall '-R 3 2"'
loop_
_atom_site_label
_atom_site_type_symbol
_atom_site_fract_x
_atom_site_fract_y
_atom_site_fract_z
Mg1 Mg 0.0000 0.0000 0.2431
As1 As 0.0000 0.0000 0.0000
Rh1 Rh 0.0000 0.0000 0.5000

(4)
# Cs2OsRhI6, optimized geometry, DFT PBE
# Uncorrected energy ... -3.292 eV per atom
# Mass density ... 6.1 g cm⁻³
# Volume ... 35.90 Å³ per atom
data_Cs2OsRhI6
_cell_length_a 7.993
_cell_length_b 7.993
_cell_length_c 11.240
_cell_angle_alpha 90.00
_cell_angle_beta 90.00
_cell_angle_gamma 90.00
_space_group_name_H-M_alt 'I 4/m m m'
_space_group_IT_number 139
_space_group_name_Hall '-I 4 2'
loop_
_atom_site_label
_atom_site_type_symbol
_atom_site_fract_x
_atom_site_fract_y
_atom_site_fract_z
Cs1 Cs 0.000 0.500 0.250
Os1 Os 0.000 0.000 0.000
Rh1 Rh 0.000 0.000 0.500
I1 I 0.000 0.000 0.248
I2 I 0.247 0.247 0.000

(5)
# LiLaGdGe, optimized geometry, DFT PBE
# Mass density ... 6.3 g cm⁻³
# ΔE_f ... -0.413 eV per atom
# Volume ... 24.89 Å³ per atom
data_LiLaGdGe
_cell_length_a 7.357
_cell_length_b 7.357
_cell_length_c 7.357
_cell_angle_alpha 90.00
_cell_angle_beta 90.00
_cell_angle_gamma 90.00
_space_group_name_H-M_alt 'F -4 3 m'
_space_group_IT_number 216
_space_group_name_Hall 'F -4 2 3'
loop_
_atom_site_label
_atom_site_type_symbol
_atom_site_fract_x
_atom_site_fract_y
_atom_site_fract_z
Li1 Li 0.000 0.000 0.000
La1 La 0.250 0.250 0.750
Gd1 Gd 0.250 0.250 0.250
Ge1 Ge 0.000 0.000 0.500

(6)
# KCr2P, optimized geometry, DFT PBE
# Mass density ... 3.4 g cm⁻³
# ΔE_f ... 1.006 eV per atom
# Volume ... 21.40 Å³ per atom
data_KCr2P
_cell_length_a 6.996
_cell_length_b 6.996
_cell_length_c 6.996
_cell_angle_alpha 90.00
_cell_angle_beta 90.00
_cell_angle_gamma 90.00
_space_group_name_H-M_alt 'F -4 3 m'
_space_group_IT_number 216
_space_group_name_Hall 'F -4 2 3'
loop_
_atom_site_label
_atom_site_type_symbol
_atom_site_fract_x
_atom_site_fract_y
_atom_site_fract_z
K1 K 0.000 0.000 0.000
Cr1 Cr 0.000 0.000 0.500
Cr2 Cr 0.250 0.250 0.750
P1 P 0.250 0.250 0.250